Compound: CaCo2W
Source: the Alexandria database
Functional: SCAN
Structure: PBEsol geometry

a = 2.637 Å, b = 4.457 Å, c = 9.859 Å
α = 90.00°, β = 90.00°, γ = 90.00°
Atoms (fractional coordinates):
Ca 0.000 0.000 0.000
Ca 0.500 0.500 0.500
Co 0.000 0.000 0.482
Co 0.000 0.500 0.779
Co 0.500 0.000 0.279
Co 0.500 0.500 0.982
W 0.000 0.500 0.207
W 0.500 0.000 0.707

Properties
Volume: 115.87 Å³ per cell
Formation enthalpy at 0 K: 0.64 eV per atom
Space-group type: No. 44